The following is a DFT calculation (PBE) of an optimized crystal structure of Pm8P3SBr4.

Output
The calculation puts the total energy at -5.594 eV per atom.

Lattice parameters (Å, degrees): 8.256 8.661 8.256 118.47 120.00 90.00
Sites, in units of the cell vectors:
P (0.000, 0.500, 0.500)
P (0.500, 0.500, 0.000)
Br (0.000, 0.000, 0.000)
Pm (0.232, 0.698, 0.464)
Pm (0.232, 0.698, 0.966)
S (0.000, 0.500, 0.000)
P (0.500, 0.500, 0.500)
Pm (0.768, 0.302, 0.536)
Br (0.500, 0.000, 0.000)
Pm (0.768, 0.302, 0.034)
Br (0.000, 0.000, 0.500)
Pm (0.267, 0.300, 0.534)
Br (0.500, 0.000, 0.500)
Pm (0.266, 0.302, 0.034)
Pm (0.733, 0.700, 0.466)
Pm (0.734, 0.698, 0.966)

***

The following is a DFT calculation (PBE) of an optimized crystal structure of GdYScIr.

Output
The calculation puts the formation energy at -0.236 eV per atom. The calculation puts the total energy at -9.170 eV per atom.

Lattice parameters (Å, degrees): 5.057 5.057 5.057 60.00 60.00 60.00
Sites, in units of the cell vectors:
Sc (0.750, 0.750, 0.750)
Gd (0.500, 0.500, 0.500)
Y (0.000, 0.000, 0.000)
Ir (0.250, 0.250, 0.250)

***

The following is a DFT calculation (PBE) of an optimized crystal structure of GdLuNi2.

Output
The calculation puts the formation energy at -0.403 eV per atom. The calculation puts the total energy at -7.944 eV per atom. Its energy above the most stable polymorph in this dataset is 0 meV per atom.

Lattice parameters (Å, degrees): 3.308 4.777 4.777 90.00 90.00 90.00
Sites, in units of the cell vectors:
Gd (0.500, 0.000, 0.000)
Ni (0.000, 0.500, 0.000)
Lu (0.500, 0.500, 0.500)
Ni (0.000, 0.000, 0.500)

***

The following is a DFT calculation (PBE) of an optimized crystal structure of MgSnHgGe.

Output
The calculation puts the formation energy at 0.037 eV per atom. The calculation puts the total energy at -2.592 eV per atom.

Lattice parameters (Å, degrees): 5.104 5.104 5.104 60.00 60.00 60.00
Sites, in units of the cell vectors:
Mg (0.000, 0.000, 0.000)
Ge (0.250, 0.250, 0.250)
Hg (0.750, 0.750, 0.750)
Sn (0.500, 0.500, 0.500)

***

The following is a DFT calculation (PBE) of an optimized crystal structure of MgReW2Se.

Output
The calculation puts the total energy at -6.001 eV per atom.

Lattice parameters (Å, degrees): 4.684 4.338 4.684 90.00 90.00 90.00
Sites, in units of the cell vectors:
Mg (0.000, 0.000, 0.000)
W (0.500, 0.000, 0.000)
W (0.000, 0.000, 0.500)
Se (0.000, 0.500, 0.000)
Re (0.500, 0.500, 0.500)

***

The following is a DFT calculation (PBE) of an optimized crystal structure of ScBeIn2.

Output
The calculation puts the formation energy at 0.192 eV per atom. The calculation puts the total energy at -3.691 eV per atom.

Lattice parameters (Å, degrees): 9.292 9.292 9.292 20.22 20.22 20.22
Sites, in units of the cell vectors:
Sc (0.250, 0.250, 0.250)
Be (0.750, 0.750, 0.750)
In (0.010, 0.010, 0.010)
In (0.490, 0.490, 0.490)

***

The following is a DFT calculation (PBE) of an optimized crystal structure of HgPC3.

Output
The calculation puts the formation energy at 3.726 eV per atom. The calculation puts the total energy at -2.950 eV per atom. Its energy above the most stable polymorph in this dataset is 1509 meV per atom.

Lattice parameters (Å, degrees): 4.290 4.290 4.290 90.00 90.00 90.00
Sites, in units of the cell vectors:
C (0.000, 0.000, 0.500)
Hg (0.000, 0.000, 0.000)
C (0.000, 0.500, 0.000)
C (0.500, 0.000, 0.000)
P (0.500, 0.500, 0.500)

***

The following is a DFT calculation (PBE) of an optimized crystal structure of Tm4ScSb.

Output
The calculation puts the total energy at -4.637 eV per atom.

Lattice parameters (Å, degrees): 5.044 5.045 7.547 89.97 89.98 90.00
Sites, in units of the cell vectors:
Tm (0.501, 0.997, 0.256)
Sc (0.001, 0.997, 0.498)
Tm (0.501, 0.998, 0.740)
Tm (0.001, 0.497, 0.256)
Tm (0.001, 0.497, 0.740)
Sb (0.501, 0.497, 0.998)